# LaCuSi3

An optimized crystal structure of LaCuSi3 (PBE, Alexandria via LeMat-Bulk). Values from VASP.

Summary:
Raw formation energy, eV per atom: 0.084
Total magnetic moment, μB/f.u.: 0.00
SG: No. 221
Electronic total energy, eV per atom: -4.974

Quantum ESPRESSO input file:
```
&SYSTEM
  ibrav = 0, nat = 5, ntyp = 3
/
ATOMIC_SPECIES
La 138.91 La.upf
Cu 63.55 Cu.upf
Si 28.09 Si.upf
ATOMIC_POSITIONS crystal
La 0.000 0.000 0.000
Cu 0.500 0.500 0.500
Si 0.000 0.500 0.500
Si 0.500 0.000 0.500
Si 0.500 0.500 0.000
CELL_PARAMETERS angstrom
4.636 0.000 0.000
0.000 4.636 0.000
0.000 0.000 4.636
```